Entry from Alexandria: an optimized crystal structure of LaTbPuCd (PBE-GGA).

Cell and atoms, written as extended XYZ:
```
4
Lattice="5.507 0.000 0.000 2.753 4.769 0.000 2.753 1.590 4.496" Properties=species:S:1:pos:R:3 pbc="T T T"
Cd 8.260 4.769 3.372
La 0.000 0.000 0.000
Tb 5.507 3.179 2.248
Pu 2.753 1.590 1.124
```

The value obtained for the volume is 118.1 Å³ per cell. The density of states at the Fermi level comes out at 16.73 states/eV/cell. The total energy comes out at -6.143 eV/atom.

=====

Entry from Alexandria: an optimized crystal structure of LaPuThCd (PBE-GGA).

Cell and atoms, written as extended XYZ:
```
4
Lattice="-0.700 -2.578 -4.800 2.269 -4.934 -0.824 -3.177 -4.472 -0.278" Properties=species:S:1:pos:R:3 pbc="T T T"
Cd -0.804 -5.992 -2.951
La -1.206 -8.988 -4.427
Th -0.402 -2.996 -1.476
Pu 0.000 0.000 0.000
```

The value obtained for the volume is 117.2 Å³ per cell. The density of states at the Fermi level comes out at 15.86 states/eV/cell. The total energy comes out at -6.828 eV/atom.

=====

Entry from Alexandria: an optimized crystal structure of LaPuTlCd (PBE-GGA).

Cell and atoms, written as extended XYZ:
```
4
Lattice="-2.430 -3.575 -3.407 -3.162 -4.022 2.030 -5.454 0.158 -0.721" Properties=species:S:1:pos:R:3 pbc="T T T"
Cd 0.000 0.000 0.000
Tl -5.523 -3.720 -1.049
La -2.761 -1.860 -0.524
Pu -8.284 -5.580 -1.573
```

The value obtained for the volume is 117.9 Å³ per cell. The density of states at the Fermi level comes out at 10.19 states/eV/cell. The total energy comes out at -5.799 eV/atom.

=====

Entry from Alexandria: an optimized crystal structure of LaTmPuCd (PBE-GGA).

Cell and atoms, written as extended XYZ:
```
4
Lattice="-4.996 1.453 1.700 -3.990 -3.737 0.279 -1.832 -1.689 4.874" Properties=species:S:1:pos:R:3 pbc="T T T"
Cd -8.114 -2.980 5.140
Tm -5.409 -1.987 3.427
La 0.000 0.000 0.000
Pu -2.705 -0.993 1.713
```

The value obtained for the volume is 116.0 Å³ per cell. The density of states at the Fermi level comes out at 16.33 states/eV/cell. The total energy comes out at -6.091 eV/atom.

=====

Entry from Alexandria: an optimized crystal structure of LaYPuCd (PBE-GGA).

Cell and atoms, written as extended XYZ:
```
4
Lattice="-1.088 -3.393 -4.205 3.361 -0.143 -4.367 3.189 -4.409 -0.880" Properties=species:S:1:pos:R:3 pbc="T T T"
Y 1.366 -1.986 -2.363
Cd 0.000 0.000 0.000
La 4.097 -5.959 -7.089
Pu 2.731 -3.973 -4.726
```

The value obtained for the volume is 118.4 Å³ per cell. The density of states at the Fermi level comes out at 17.19 states/eV/cell. The total energy comes out at -6.602 eV/atom.

=====

Entry from Alexandria: an optimized crystal structure of LaPuZnCd (PBE-GGA).

Cell and atoms, written as extended XYZ:
```
4
Lattice="5.345 0.000 0.000 2.673 4.629 0.000 2.673 1.543 4.364" Properties=species:S:1:pos:R:3 pbc="T T T"
Cd 5.345 3.086 2.182
Zn 0.000 0.000 0.000
La 2.673 1.543 1.091
Pu 8.018 4.629 3.273
```

The value obtained for the volume is 108.0 Å³ per cell. The density of states at the Fermi level comes out at 10.92 states/eV/cell. The total energy comes out at -5.469 eV/atom.

=====

Entry from Alexandria: an optimized crystal structure of RbLa2Cd2 (PBE-GGA).

Cell and atoms, written as extended XYZ:
```
10
Lattice="-3.702 8.997 -1.371 -3.163 0.115 9.302 3.121 1.443 1.043" Properties=species:S:1:pos:R:3 pbc="T T T"
Cd -1.215 2.364 6.551
Cd -3.547 6.880 7.282
Cd -2.529 8.192 2.423
Cd -0.197 3.676 1.692
Rb 0.000 0.000 0.000
Rb -3.433 4.556 3.965
La -4.210 3.546 7.687
La -5.220 8.014 4.531
La -2.656 5.566 0.244
La -1.645 1.098 3.400
```

The value obtained for the volume is 346.9 Å³ per cell. The density of states at the Fermi level comes out at 9.49 states/eV/cell. The calculation puts the energy relative to the lowest polymorph listed for this composition at 0.0 meV/atom. The total energy comes out at -2.587 eV/atom.

=====

Entry from Alexandria: an optimized crystal structure of Rb2LaCd2 (PBE-GGA).

Cell and atoms, written as extended XYZ:
```
10
Lattice="8.317 0.000 0.000 0.000 8.317 0.000 0.000 0.000 6.379" Properties=species:S:1:pos:R:3 pbc="T T T"
Cd 3.137 7.296 0.000
Cd 7.296 5.180 0.000
Cd 5.180 1.021 0.000
Cd 1.021 3.137 0.000
Rb 1.452 5.610 3.189
Rb 5.610 6.865 3.189
Rb 6.865 2.707 3.189
Rb 2.707 1.452 3.189
La 0.000 0.000 0.000
La 4.158 4.158 0.000
```

The value obtained for the volume is 441.2 Å³ per cell. The density of states at the Fermi level comes out at 5.70 states/eV/cell. The total energy comes out at -1.593 eV/atom.

=====

Entry from Alexandria: an optimized crystal structure of RbLaCd4 (PBE-GGA).

Cell and atoms, written as extended XYZ:
```
6
Lattice="6.258 0.000 0.000 3.129 5.419 0.000 3.129 1.806 5.109" Properties=species:S:1:pos:R:3 pbc="T T T"
Cd 6.258 3.613 0.623
Cd 6.258 1.792 3.199
Cd 7.835 4.523 3.199
Cd 4.680 4.523 3.199
Rb 3.129 1.806 1.277
La 0.000 0.000 0.000
```

The value obtained for the volume is 173.3 Å³ per cell. The density of states at the Fermi level comes out at 7.24 states/eV/cell. The total energy comes out at -1.658 eV/atom.

=====

Entry from Alexandria: an optimized crystal structure of RbLaCd3 (PBE-GGA).

Cell and atoms, written as extended XYZ:
```
5
Lattice="-6.046 1.399 0.789 -1.541 -5.918 -1.318 0.452 -1.468 6.064" Properties=species:S:1:pos:R:3 pbc="T T T"
Cd -0.770 -2.959 -0.659
Cd 0.226 -0.734 3.032
Cd -3.023 0.699 0.394
Rb -3.568 -2.994 2.768
La 0.000 0.000 0.000
```

The value obtained for the volume is 244.8 Å³ per cell. The density of states at the Fermi level comes out at 6.42 states/eV/cell. The total energy comes out at -1.414 eV/atom.

=====

Entry from Alexandria: an optimized crystal structure of RbLaCd10 (PBE-GGA).

Cell and atoms, written as extended XYZ:
```
12
Lattice="-4.410 0.398 -1.984 2.011 -2.931 -5.060 -2.766 -9.294 4.283" Properties=species:S:1:pos:R:3 pbc="T T T"
Rb -0.377 -6.112 -0.389
La 0.000 0.000 0.000
Cd -0.917 -3.082 1.420
Cd -1.302 -9.220 1.043
Cd 0.548 -3.005 -1.821
Cd -1.849 -6.212 2.863
Cd -3.588 -4.448 1.150
Cd -1.199 -1.266 -3.522
Cd -2.361 -2.598 -1.206
Cd -2.803 -9.228 -1.555
Cd -1.293 -4.154 -3.893
Cd -3.871 -7.672 1.132
```

The value obtained for the volume is 318.0 Å³ per cell. The density of states at the Fermi level comes out at 6.51 states/eV/cell. The total energy comes out at -1.381 eV/atom.

=====

Entry from Alexandria: an optimized crystal structure of RbLa2Cd2 (PBE-GGA).

Cell and atoms, written as extended XYZ:
```
5
Lattice="5.836 0.000 0.000 0.000 5.836 0.000 2.918 2.918 5.751" Properties=species:S:1:pos:R:3 pbc="T T T"
Cd 5.836 2.918 2.876
Cd 2.918 5.836 2.876
Rb 0.000 0.000 0.000
La 2.918 2.918 1.506
La 5.836 5.836 4.245
```

The value obtained for the volume is 195.9 Å³ per cell. The density of states at the Fermi level comes out at 5.34 states/eV/cell. The calculation puts the energy relative to the lowest polymorph listed for this composition at 277.9 meV/atom. The total energy comes out at -2.309 eV/atom.

=====

Entry from Alexandria: an optimized crystal structure of RbLa2Cd2 (PBE-GGA).

Cell and atoms, written as extended XYZ:
```
5
Lattice="-1.779 -3.631 2.879 4.465 -2.167 0.026 3.295 1.197 7.822" Properties=species:S:1:pos:R:3 pbc="T T T"
Cd 1.729 -2.089 2.713
Cd 4.252 -2.513 8.015
Rb 0.000 0.000 0.000
La 1.429 -2.667 6.077
La 4.552 -1.935 4.650
```

The value obtained for the volume is 192.7 Å³ per cell. The density of states at the Fermi level comes out at 4.88 states/eV/cell. The calculation puts the energy relative to the lowest polymorph listed for this composition at 115.1 meV/atom. The total energy comes out at -2.472 eV/atom.